Computed, not measured: a relaxed structure of Cs2CdAu2 at the PBE level of DFT.

```
data_Cs2CdAu2
_symmetry_space_group_name_H-M 'P 4/m b m'
_symmetry_Int_Tables_number 127
_symmetry_space_group_name_Hall '-P 4 2ab'
_cell_length_a 10.1510
_cell_length_b 10.1510
_cell_length_c 4.3291
_cell_angle_alpha 90.00
_cell_angle_beta 90.00
_cell_angle_gamma 90.00
loop_
_atom_site_label
_atom_site_fract_x
_atom_site_fract_y
_atom_site_fract_z
Cs1 0.1442 0.3558 0.0000
Cd1 0.0000 0.0000 0.0000
Au1 0.1525 0.6525 0.5000
```

magnetization: 0.0 μB/f.u.
ΔE_f: -0.098 eV per atom
DFT total energy: -19.34 eV/cell

***

Computed, not measured: a relaxed structure of Mg2ReW at the PBE level of DFT.

```
data_Mg2ReW
_symmetry_space_group_name_H-M 'P m m m'
_symmetry_Int_Tables_number 47
_cell_length_a 2.6877
_cell_length_b 4.5770
_cell_length_c 5.3804
_cell_angle_alpha 90.00
_cell_angle_beta 90.00
_cell_angle_gamma 90.00
loop_
_symmetry_equiv_pos_as_xyz
'x,y,z'
'-x,-y,-z'
'-x,-y,z'
'x,y,-z'
'x,-y,-z'
'-x,y,z'
'-x,y,-z'
'x,-y,z'
loop_
_atom_site_label
_atom_site_fract_x
_atom_site_fract_y
_atom_site_fract_z
Mg1 0.0000 0.0000 0.2479
Re1 0.5000 0.5000 0.0000
W1 0.5000 0.5000 0.5000
```

N(E_F): 1.671 states/eV/f.u.
magnetization: 0.0 μB/f.u.
ΔE_f: 0.389 eV per atom
DFT total energy: -27.04 eV/cell

***

Computed, not measured: a relaxed structure of Tb6Sm5Y at the PBE level of DFT.

```
data_Tb6Sm5Y
_symmetry_space_group_name_H-M 'I m m m'
_symmetry_Int_Tables_number 71
_symmetry_space_group_name_Hall '-I 2 2'
_cell_length_a 5.0752
_cell_length_b 10.1557
_cell_length_c 15.2306
_cell_angle_alpha 90.00
_cell_angle_beta 90.00
_cell_angle_gamma 90.00
loop_
_atom_site_label
_atom_site_fract_x
_atom_site_fract_y
_atom_site_fract_z
Tb1 0.0000 0.2499 0.0000
Tb2 0.0000 0.2502 0.3334
Sm1 0.0000 0.0000 0.1664
Sm2 0.0000 0.0000 0.5000
Sm3 0.0000 0.5000 0.1669
Y1 0.0000 0.5000 0.5000
```

N(E_F): 16.786 states/eV/f.u.
magnetization: 0.0 μB/f.u.
ΔE_f: 0.016 eV per atom
DFT total energy: -115.29 eV/cell

***

Computed, not measured: a relaxed structure of Nd7Y4Tm at the PBE level of DFT.

```
data_Nd7Y4Tm
_symmetry_space_group_name_H-M 'C 1 2/m 1'
_symmetry_Int_Tables_number 12
_cell_length_a 13.5649
_cell_length_b 6.1295
_cell_length_c 11.4176
_cell_angle_alpha 90.00
_cell_angle_beta 119.26
_cell_angle_gamma 90.00
loop_
_symmetry_equiv_pos_as_xyz
'x,y,z'
'-x,-y,-z'
'-x,y,-z'
'x,-y,z'
'x+1/2,y+1/2,z'
'-x+1/2,-y+1/2,-z'
'-x+1/2,y+1/2,-z'
'x+1/2,-y+1/2,z'
loop_
_atom_site_label
_atom_site_fract_x
_atom_site_fract_y
_atom_site_fract_z
Nd1 0.0000 0.0000 0.0000
Nd2 0.0419 0.5000 0.3717
Nd3 0.1991 0.0000 0.5756
Nd4 0.2070 0.5000 0.9377
Y1 0.0565 0.0000 0.7458
Y2 0.2167 0.0000 0.2935
Tm1 0.0000 0.5000 0.0000
```

N(E_F): 17.790 states/eV/f.u.
magnetization: 0.0 μB/f.u.
ΔE_f: 0.343 eV per atom
DFT total energy: -119.16 eV/cell

***

Computed, not measured: a relaxed structure of CaNd4Ru at the PBE level of DFT.

```
data_CaNd4Ru
_symmetry_space_group_name_H-M 'I m m m'
_symmetry_Int_Tables_number 71
_symmetry_space_group_name_Hall '-I 2 2'
_cell_length_a 6.3333
_cell_length_b 7.6319
_cell_length_c 16.6905
_cell_angle_alpha 90.00
_cell_angle_beta 90.00
_cell_angle_gamma 90.00
loop_
_atom_site_label
_atom_site_fract_x
_atom_site_fract_y
_atom_site_fract_z
Ca1 0.0000 0.0000 0.2005
Nd1 0.0000 0.2130 0.0000
Nd2 0.0000 0.2458 0.3928
Nd3 0.0000 0.5000 0.1697
Ru1 0.2413 0.0000 0.5000
```

N(E_F): 8.538 states/eV/f.u.
magnetization: 0.0 μB/f.u.
ΔE_f: -0.035 eV per atom
DFT total energy: -122.22 eV/cell

***

Computed, not measured: a relaxed structure of BaSmC2O6 at the PBE level of DFT.

```
data_BaSmC2O6
_symmetry_space_group_name_H-M 'C 1 2/c 1'
_symmetry_Int_Tables_number 15
_cell_length_a 8.3585
_cell_length_b 10.0609
_cell_length_c 7.1310
_cell_angle_alpha 90.00
_cell_angle_beta 110.76
_cell_angle_gamma 90.00
loop_
_symmetry_equiv_pos_as_xyz
'x,y,z'
'-x,-y,-z'
'-x,y,-z+1/2'
'x,-y,z+1/2'
'x+1/2,y+1/2,z'
'-x+1/2,-y+1/2,-z'
'-x+1/2,y+1/2,-z+1/2'
'x+1/2,-y+1/2,z+1/2'
loop_
_atom_site_label
_atom_site_fract_x
_atom_site_fract_y
_atom_site_fract_z
Ba1 0.0000 0.1400 0.2500
Sm1 0.0000 0.4114 0.7500
C1 0.2455 0.1192 0.7441
O1 0.1013 0.3858 0.1094
O2 0.1639 0.2321 0.6965
O3 0.2107 0.0186 0.6154
```

uncorrected formation energy: -2.108 eV per atom
N(E_F): 2.246 states/eV/f.u.
magnetization: 0.7 μB/f.u.
DFT total energy: -303.66 eV/cell

***

Computed, not measured: a relaxed structure of Li2Tl2SbSe4 at the PBE level of DFT.

```
data_Li2Tl2SbSe4
_symmetry_space_group_name_H-M 'C 1 2/m 1'
_symmetry_Int_Tables_number 12
_cell_length_a 15.4062
_cell_length_b 4.1163
_cell_length_c 7.7018
_cell_angle_alpha 90.00
_cell_angle_beta 112.19
_cell_angle_gamma 90.00
loop_
_symmetry_equiv_pos_as_xyz
'x,y,z'
'-x,-y,-z'
'-x,y,-z'
'x,-y,z'
'x+1/2,y+1/2,z'
'-x+1/2,-y+1/2,-z'
'-x+1/2,y+1/2,-z'
'x+1/2,-y+1/2,z'
loop_
_atom_site_label
_atom_site_fract_x
_atom_site_fract_y
_atom_site_fract_z
Li1 0.1826 0.0000 0.4870
Tl1 0.1390 0.5000 0.0556
Sb1 0.0000 0.5000 0.5000
Se1 0.0133 0.0000 0.2537
Se2 0.1986 0.5000 0.6894
```

uncorrected formation energy: -0.602 eV per atom
N(E_F): 3.437 states/eV/f.u.
magnetization: 0.0 μB/f.u.
DFT total energy: -64.08 eV/cell

***

Computed, not measured: a relaxed structure of Eu3YH at the PBE level of DFT.

```
data_Eu3YH
_symmetry_space_group_name_H-M 'P m -3 m'
_symmetry_Int_Tables_number 221
_symmetry_space_group_name_Hall '-P 4 2 3'
_cell_length_a 5.2908
_cell_length_b 5.2908
_cell_length_c 5.2908
_cell_angle_alpha 90.00
_cell_angle_beta 90.00
_cell_angle_gamma 90.00
loop_
_atom_site_label
_atom_site_fract_x
_atom_site_fract_y
_atom_site_fract_z
Eu1 0.0000 0.0000 0.5000
Y1 0.5000 0.5000 0.5000
H1 0.0000 0.0000 0.0000
```

N(E_F): 3.387 states/eV/f.u.
magnetization: 22.6 μB/f.u.
DFT total energy: -41.18 eV/cell

***

Respective calculated density values: 5.749; 10.503; 7.591; 6.152; 5.913; 4.829; 6.317; 6.119 Mg/m³.